[1]
Material: AcGa3Ni2
Method: DFT, GGA-PBE
State: optimized geometry

Unit cell a=6.4784 b=6.4784 c=5.2437 alpha=90.00 beta=90.00 gamma=75.48
Atoms (fractional coordinates):
Ac1 0.1605 0.8395 0.7500
Ac2 0.8395 0.1605 0.2500
Ga1 0.0252 0.5873 0.2500
Ga2 0.4127 0.9748 0.2500
Ga3 0.4328 0.5672 0.2500
Ga4 0.5672 0.4328 0.7500
Ga5 0.5873 0.0252 0.7500
Ga6 0.9748 0.4127 0.7500
Ni1 0.2987 0.2987 0.0000
Ni2 0.2987 0.2987 0.5000
Ni3 0.7013 0.7013 0.0000
Ni4 0.7013 0.7013 0.5000

Values from the calculation:
As for the crystal system: orthorhombic. The raw total energy is -27.54 eV per formula unit. The calculation puts the total magnetization at 0.004 μB per formula unit.

---

[2]
Material: Mg4InSnIr2
Method: DFT, GGA-PBE
State: optimized geometry

Unit cell a=4.6153 b=4.6153 c=8.4879 alpha=90.00 beta=90.00 gamma=120.00
Atoms (fractional coordinates):
Mg1 0.0000 0.0000 0.1719
Mg2 0.0000 0.0000 0.8281
Mg3 0.6667 0.3333 0.3250
Mg4 0.6667 0.3333 0.6750
In1 0.3333 0.6667 0.0000
Sn1 0.3333 0.6667 0.5000
Ir1 0.0000 0.0000 0.5000
Ir2 0.6667 0.3333 0.0000

Values from the calculation:
As for the crystal system: hexagonal. As for the energy relative to the lowest polymorph listed for this composition: 0 meV/atom. The calculation puts the total magnetization at 0.009 μB per formula unit.

---

[3]
Material: GdHoAl4Pd2
Method: DFT, GGA-PBE
State: optimized geometry

Unit cell a=6.9452 b=5.5600 c=5.5600 alpha=45.45 beta=90.00 gamma=90.00
Atoms (fractional coordinates):
Gd1 0.0000 0.0000 0.0000
Ho1 0.5000 0.1427 0.1427
Al1 0.1975 0.7127 0.7127
Al2 0.3044 0.4293 0.4293
Al3 0.6956 0.4293 0.4293
Al4 0.8025 0.7127 0.7127
Pd1 0.0000 0.2820 0.2820
Pd2 0.5000 0.8608 0.8608

Values from the calculation:
As for the crystal system: orthorhombic. The raw total energy is -40.88 eV per formula unit. The calculation puts the total magnetization at 0.026 μB per formula unit.